[1]
DFT (PBE) results for crystalline Y2TlZn at its relaxed geometry.

Results
ΔE_f   -0.228 eV/atom
Space group   C2/m (12)

Structure (POSCAR):
```
Y2TlZn
1.0
9.462 0.000 0.000
0.000 3.724 0.000
-1.484 0.000 6.225
Y Tl Zn
4 2 2
direct
0.245 0.000 0.234
0.255 0.500 0.766
0.745 0.500 0.234
0.755 0.000 0.766
0.000 0.000 0.500
0.500 0.500 0.500
0.000 0.500 0.000
0.500 0.000 0.000
```

=====

[2]
DFT (PBE) results for crystalline Y6Tl2Zn at its relaxed geometry.

Results
ΔE_f   -0.183 eV/atom
Space group   P2_1/c (14)

Structure (POSCAR):
```
Y6Tl2Zn
1.0
6.355 0.000 0.000
0.000 8.581 0.000
-5.516 0.000 9.727
Y Tl Zn
12 4 2
direct
0.068 0.170 0.444
0.068 0.330 0.944
0.338 0.683 0.443
0.338 0.817 0.943
0.404 0.033 0.281
0.404 0.467 0.781
0.596 0.533 0.219
0.596 0.967 0.719
0.662 0.183 0.057
0.662 0.317 0.557
0.932 0.670 0.056
0.932 0.830 0.556
0.170 0.125 0.752
0.170 0.375 0.252
0.830 0.625 0.748
0.830 0.875 0.248
0.000 0.000 0.000
0.000 0.500 0.500
```

=====

[3]
DFT (PBE) results for crystalline Y5Tl4Zn at its relaxed geometry.

Results
ΔE_f   -0.382 eV/atom
Space group   P4/mmm (123)

Structure (POSCAR):
```
Y5Tl4Zn
1.0
3.652 0.000 0.000
0.000 3.652 0.000
0.000 0.000 19.862
Y Tl Zn
5 4 1
direct
0.000 0.000 0.000
0.000 0.000 0.208
0.000 0.000 0.414
0.000 0.000 0.586
0.000 0.000 0.792
0.500 0.500 0.104
0.500 0.500 0.312
0.500 0.500 0.688
0.500 0.500 0.896
0.500 0.500 0.500
```